{"formula": "SrScGaHg", "functional": "PBE", "state": "optimized geometry", "lattice_angstrom": [[0.000, 3.704, 3.704], [3.704, 0.000, 3.704], [3.704, 3.704, 0.000]], "species": ["Sr", "Sc", "Ga", "Hg"], "frac_coords": [[0.000, 0.000, 0.000], [0.500, 0.500, 0.500], [0.250, 0.250, 0.250], [0.750, 0.750, 0.750]], "magmom_total_mub_per_atom": 0.000, "formation_enthalpy_0k_mev_per_atom": -340, "sg": "F-43m"}